Version one
VASP calculation (PBE) on crystalline Nd5Dy2Tm5 at its relaxed geometry.

The symmetry is No. 12.

```
data_Nd5Dy2Tm5
_space_group_name_H-M_alt 'P 1'
_space_group_IT_number 1
_cell_length_a 5.046
_cell_length_b 10.738
_cell_length_c 8.001
_cell_angle_alpha 98.53
_cell_angle_beta 71.62
_cell_angle_gamma 76.41
loop_
_space_group_symop_operation_xyz
'x,y,z'
loop_
_atom_site_label
_atom_site_fract_x
_atom_site_fract_y
_atom_site_fract_z
Nd1 0.668 0.251 0.414
Nd2 0.999 0.250 0.752
Nd3 0.001 0.750 0.248
Nd4 0.332 0.749 0.586
Nd5 0.000 0.000 0.000
Dy1 0.333 0.501 0.834
Dy2 0.667 0.499 0.166
Tm1 0.000 0.500 0.500
Tm2 0.668 0.748 0.916
Tm3 0.333 0.000 0.334
Tm4 0.667 0.000 0.666
Tm5 0.332 0.252 0.084
```

Version two
VASP calculation (PBE) on crystalline Nd5Dy2Tm5 at its relaxed geometry.

The symmetry is No. 12.

```
data_Nd5Dy2Tm5
_space_group_name_H-M_alt 'P 1'
_space_group_IT_number 1
_cell_length_a 5.667
_cell_length_b 6.550
_cell_length_c 12.345
_cell_angle_alpha 107.46
_cell_angle_beta 90.00
_cell_angle_gamma 115.63
loop_
_space_group_symop_operation_xyz
'x,y,z'
loop_
_atom_site_label
_atom_site_fract_x
_atom_site_fract_y
_atom_site_fract_z
Nd1 0.194 0.388 0.471
Nd2 0.747 0.493 0.778
Nd3 0.253 0.507 0.222
Nd4 0.806 0.612 0.529
Nd5 0.000 0.000 0.000
Dy1 0.082 0.165 0.704
Dy2 0.918 0.835 0.296
Tm1 0.500 0.000 0.500
Tm2 0.690 0.380 0.030
Tm3 0.568 0.137 0.244
Tm4 0.432 0.863 0.756
Tm5 0.310 0.620 0.970
```

Least stable = version two